P.
{"formula": "SmPuTc2", "functional": "GGA-PBE", "state": "optimized geometry", "lattice_angstrom": [[3.371, 0.000, 0.000], [0.000, 3.371, 0.000], [0.000, 0.000, 7.116]], "species": ["Sm", "Pu", "Tc", "Tc"], "frac_coords": [[0.000, 0.000, 0.000], [0.000, 0.000, 0.500], [0.500, 0.500, 0.291], [0.500, 0.500, 0.709]]}

---

Q.
{"formula": "SmPuTc2", "functional": "GGA-PBE", "state": "optimized geometry", "lattice_angstrom": [[0.000, 3.420, 3.420], [3.420, 0.000, 3.420], [3.420, 3.420, 0.000]], "species": ["Sm", "Pu", "Tc", "Tc"], "frac_coords": [[0.000, 0.000, 0.000], [0.500, 0.500, 0.500], [0.250, 0.250, 0.250], [0.750, 0.750, 0.750]]}

---

What should be chosen as the least stable of them? Choose Q.

---

P.
{"formula": "Sm2PuTe", "functional": "GGA-PBE", "state": "optimized geometry", "lattice_angstrom": [[1.925, 1.112, 10.748], [-1.925, 1.112, 10.748], [0.000, -2.223, 10.748]], "species": ["Sm", "Sm", "Pu", "Te"], "frac_coords": [[0.100, 0.100, 0.100], [0.900, 0.900, 0.900], [0.000, 0.000, 0.000], [0.500, 0.500, 0.500]]}

---

Q.
{"formula": "Sm2PuTe", "functional": "GGA-PBE", "state": "optimized geometry", "lattice_angstrom": [[3.899, 0.000, 0.000], [0.000, 3.899, 0.000], [0.000, 0.000, 7.777]], "species": ["Sm", "Sm", "Pu", "Te"], "frac_coords": [[0.000, 0.000, 0.230], [0.000, 0.000, 0.770], [0.500, 0.500, 0.500], [0.500, 0.500, 0.000]]}

---

R.
{"formula": "Sm2PuTe", "functional": "GGA-PBE", "state": "optimized geometry", "lattice_angstrom": [[4.972, 0.000, 0.000], [0.000, 4.972, 0.000], [0.000, 0.000, 4.512]], "species": ["Sm", "Sm", "Pu", "Te"], "frac_coords": [[0.000, 0.500, 0.000], [0.500, 0.000, 0.000], [0.000, 0.000, 0.500], [0.500, 0.500, 0.500]]}

---

What should be chosen as the least stable of them? Choose P.

---

P.
{"formula": "SmPuTe2", "functional": "GGA-PBE", "state": "optimized geometry", "lattice_angstrom": [[2.141, 1.236, 7.826], [-2.141, 1.236, 7.826], [0.000, -2.472, 7.826]], "species": ["Sm", "Pu", "Te", "Te"], "frac_coords": [[0.000, 0.000, 0.000], [0.173, 0.173, 0.173], [0.585, 0.585, 0.585], [0.754, 0.754, 0.754]]}

---

Q.
{"formula": "SmPuTe2", "functional": "GGA-PBE", "state": "optimized geometry", "lattice_angstrom": [[2.209, 1.275, 7.306], [-2.209, 1.275, 7.306], [0.000, -2.551, 7.306]], "species": ["Sm", "Pu", "Te", "Te"], "frac_coords": [[0.000, 0.000, 0.000], [0.500, 0.500, 0.500], [0.249, 0.249, 0.249], [0.751, 0.751, 0.751]]}

---

R.
{"formula": "SmPuTe2", "functional": "GGA-PBE", "state": "optimized geometry", "lattice_angstrom": [[0.000, 3.835, 3.835], [3.835, 0.000, 3.835], [3.835, 3.835, 0.000]], "species": ["Sm", "Pu", "Te", "Te"], "frac_coords": [[0.000, 0.000, 0.000], [0.500, 0.500, 0.500], [0.250, 0.250, 0.250], [0.750, 0.750, 0.750]]}

---

What should be chosen as the least stable of them? Choose R.

---

P.
{"formula": "SmPuTe2", "functional": "GGA-PBE", "state": "optimized geometry", "lattice_angstrom": [[3.820, 0.000, 0.000], [0.000, 3.820, 0.000], [0.000, 0.000, 7.681]], "species": ["Sm", "Pu", "Te", "Te"], "frac_coords": [[0.000, 0.000, 0.000], [0.000, 0.000, 0.500], [0.500, 0.500, 0.249], [0.500, 0.500, 0.751]]}

---

Q.
{"formula": "SmPuTe2", "functional": "GGA-PBE", "state": "optimized geometry", "lattice_angstrom": [[4.319, 0.000, 0.000], [-2.159, 3.740, 0.000], [0.000, 0.000, 15.387]], "species": ["Sm", "Sm", "Pu", "Pu", "Te", "Te", "Te", "Te"], "frac_coords": [[0.000, 0.000, 0.000], [0.000, 0.000, 0.500], [0.333, 0.667, 0.250], [0.667, 0.333, 0.750], [0.333, 0.667, 0.623], [0.333, 0.667, 0.877], [0.667, 0.333, 0.123], [0.667, 0.333, 0.377]]}

---

What should be chosen as the least stable of them? Choose P.

---

P.
{"formula": "SmPuTe", "functional": "GGA-PBE", "state": "optimized geometry", "lattice_angstrom": [[2.890, -2.252, 0.000], [2.890, 2.252, 0.000], [-1.725, 0.000, 11.953]], "species": ["Sm", "Sm", "Pu", "Pu", "Te", "Te"], "frac_coords": [[0.222, 0.222, 0.383], [0.778, 0.778, 0.617], [0.199, 0.199, 0.037], [0.801, 0.801, 0.963], [0.340, 0.340, 0.791], [0.660, 0.660, 0.209]]}

---

Q.
{"formula": "SmPuTe", "functional": "GGA-PBE", "state": "optimized geometry", "lattice_angstrom": [[-2.005, 2.005, 5.399], [2.005, -2.005, 5.399], [2.005, 2.005, -5.399]], "species": ["Sm", "Pu", "Te"], "frac_coords": [[0.000, 0.000, 0.000], [0.689, 0.689, 0.000], [0.348, 0.348, 0.000]]}

---

What should be chosen as the least stable of them? Choose P.

---

P.
{"formula": "SmPuTe3", "functional": "GGA-PBE", "state": "optimized geometry", "lattice_angstrom": [[-3.009, 5.662, 4.890], [3.009, -5.662, 4.890], [3.009, 5.662, -4.890]], "species": ["Sm", "Sm", "Pu", "Pu", "Te", "Te", "Te", "Te", "Te", "Te"], "frac_coords": [[0.000, 0.000, 0.000], [0.500, 0.000, 0.500], [0.305, 0.555, 0.750], [0.695, 0.445, 0.250], [0.121, 0.662, 0.459], [0.296, 0.338, 0.959], [0.363, 0.113, 0.250], [0.637, 0.887, 0.750], [0.704, 0.662, 0.041], [0.879, 0.338, 0.541]]}

---

Q.
{"formula": "SmPuTe3", "functional": "GGA-PBE", "state": "optimized geometry", "lattice_angstrom": [[4.369, 0.000, 0.000], [0.000, 7.672, 0.000], [0.000, 0.000, 9.812]], "species": ["Sm", "Sm", "Pu", "Pu", "Te", "Te", "Te", "Te", "Te", "Te"], "frac_coords": [[0.250, 0.250, 0.100], [0.750, 0.750, 0.900], [0.250, 0.750, 0.344], [0.750, 0.250, 0.656], [0.250, 0.024, 0.826], [0.250, 0.250, 0.434], [0.250, 0.476, 0.826], [0.750, 0.524, 0.174], [0.750, 0.750, 0.566], [0.750, 0.976, 0.174]]}

---

What should be chosen as the least stable of them? Choose P.

---

P.
{"formula": "SmPuTh2", "functional": "GGA-PBE", "state": "optimized geometry", "lattice_angstrom": [[1.735, 1.002, 12.277], [-1.735, 1.002, 12.277], [0.000, -2.003, 12.277]], "species": ["Sm", "Pu", "Th", "Th"], "frac_coords": [[0.000, 0.000, 0.000], [0.500, 0.500, 0.500], [0.415, 0.415, 0.415], [0.585, 0.585, 0.585]]}

---

Q.
{"formula": "SmPuTh2", "functional": "GGA-PBE", "state": "optimized geometry", "lattice_angstrom": [[1.775, 1.025, 11.472], [-1.775, 1.025, 11.472], [0.000, -2.049, 11.472]], "species": ["Sm", "Pu", "Th", "Th"], "frac_coords": [[0.000, 0.000, 0.000], [0.830, 0.830, 0.830], [0.245, 0.245, 0.245], [0.418, 0.418, 0.418]]}

---

What should be chosen as the least stable of them? Choose P.

---

P.
{"formula": "SmPuTh2", "functional": "GGA-PBE", "state": "optimized geometry", "lattice_angstrom": [[5.052, 0.000, 0.000], [0.000, 5.052, 0.000], [0.000, 0.000, 4.820]], "species": ["Sm", "Pu", "Th", "Th"], "frac_coords": [[0.000, 0.000, 0.000], [0.500, 0.500, 0.000], [0.000, 0.500, 0.500], [0.500, 0.000, 0.500]]}

---

Q.
{"formula": "SmPuTh2", "functional": "GGA-PBE", "state": "optimized geometry", "lattice_angstrom": [[0.000, 3.947, 3.947], [3.947, 0.000, 3.947], [3.947, 3.947, 0.000]], "species": ["Sm", "Pu", "Th", "Th"], "frac_coords": [[0.000, 0.000, 0.000], [0.500, 0.500, 0.500], [0.250, 0.250, 0.250], [0.750, 0.750, 0.750]]}

---

R.
{"formula": "SmPuTh2", "functional": "GGA-PBE", "state": "optimized geometry", "lattice_angstrom": [[3.553, 0.000, 0.000], [0.000, 3.553, 0.000], [0.000, 0.000, 9.723]], "species": ["Sm", "Pu", "Th", "Th"], "frac_coords": [[0.000, 0.000, 0.000], [0.000, 0.000, 0.500], [0.500, 0.500, 0.267], [0.500, 0.500, 0.733]]}

---

What should be chosen as the least stable of them? Choose Q.

---

P.
{"formula": "SmPuTh", "functional": "GGA-PBE", "state": "optimized geometry", "lattice_angstrom": [[-1.771, 1.771, 7.327], [1.771, -1.771, 7.327], [1.771, 1.771, -7.327]], "species": ["Sm", "Pu", "Th"], "frac_coords": [[0.000, 0.000, 0.000], [0.325, 0.325, 0.000], [0.672, 0.672, 0.000]]}

---

Q.
{"formula": "SmPuTh", "functional": "GGA-PBE", "state": "optimized geometry", "lattice_angstrom": [[5.705, 0.000, 0.000], [-2.853, 4.941, 0.000], [0.000, 0.000, 3.287]], "species": ["Sm", "Pu", "Th"], "frac_coords": [[0.000, 0.000, 0.000], [0.667, 0.333, 0.500], [0.333, 0.667, 0.000]]}

---

What should be chosen as the least stable of them? Choose Q.

---

P.
{"formula": "SmPuTl", "functional": "GGA-PBE", "state": "optimized geometry", "lattice_angstrom": [[-1.851, 1.851, 6.448], [1.851, -1.851, 6.448], [1.851, 1.851, -6.448]], "species": ["Sm", "Pu", "Tl"], "frac_coords": [[0.000, 0.000, 0.000], [0.316, 0.316, 0.000], [0.659, 0.659, 0.000]]}

---

Q.
{"formula": "SmPuTl", "functional": "GGA-PBE", "state": "optimized geometry", "lattice_angstrom": [[5.356, 0.000, 0.000], [-2.678, 4.639, 0.000], [0.000, 0.000, 3.473]], "species": ["Sm", "Pu", "Tl"], "frac_coords": [[0.000, 0.000, 0.000], [0.667, 0.333, 0.405], [0.333, 0.667, 0.688]]}

---

What should be chosen as the least stable of them? Choose Q.

---

P.
{"formula": "SmTmPu2", "functional": "GGA-PBE", "state": "optimized geometry", "lattice_angstrom": [[3.410, 0.000, 0.000], [0.000, 3.410, 0.000], [0.000, 0.000, 10.111]], "species": ["Sm", "Tm", "Pu", "Pu"], "frac_coords": [[0.000, 0.000, 0.000], [0.000, 0.000, 0.500], [0.500, 0.500, 0.255], [0.500, 0.500, 0.745]]}

---

Q.
{"formula": "SmTmPu2", "functional": "GGA-PBE", "state": "optimized geometry", "lattice_angstrom": [[4.822, 0.000, 0.000], [0.000, 4.822, 0.000], [0.000, 0.000, 5.041]], "species": ["Sm", "Tm", "Pu", "Pu"], "frac_coords": [[0.000, 0.000, 0.000], [0.500, 0.500, 0.000], [0.000, 0.500, 0.500], [0.500, 0.000, 0.500]]}

---

What should be chosen as the least stable of them? Choose Q.

---

P.
{"formula": "SmTmPu", "functional": "GGA-PBE", "state": "optimized geometry", "lattice_angstrom": [[-1.754, 1.754, 7.403], [1.754, -1.754, 7.403], [1.754, 1.754, -7.403]], "species": ["Sm", "Tm", "Pu"], "frac_coords": [[0.000, 0.000, 0.000], [0.328, 0.328, 0.000], [0.666, 0.666, 0.000]]}

---

Q.
{"formula": "SmTmPu", "functional": "GGA-PBE", "state": "optimized geometry", "lattice_angstrom": [[3.525, 0.000, 0.000], [-1.763, 3.053, 0.000], [0.000, 0.000, 8.532]], "species": ["Sm", "Tm", "Pu"], "frac_coords": [[0.000, 0.000, 0.000], [0.333, 0.667, 0.661], [0.667, 0.333, 0.336]]}

---

R.
{"formula": "SmTmPu", "functional": "GGA-PBE", "state": "optimized geometry", "lattice_angstrom": [[3.375, 0.000, 0.000], [0.000, 5.550, 0.000], [0.000, 0.000, 9.705]], "species": ["Sm", "Sm", "Tm", "Tm", "Pu", "Pu"], "frac_coords": [[0.250, 0.250, 0.069], [0.750, 0.750, 0.931], [0.250, 0.750, 0.596], [0.750, 0.250, 0.404], [0.250, 0.750, 0.257], [0.750, 0.250, 0.743]]}

---

What should be chosen as the least stable of them? Choose R.